#1
First-principles (PBE) data for In2CoCl after structural relaxation, as listed in Alexandria.

```
In2CoCl
1.0
-0.637 -0.916 -3.007
3.030 0.621 -0.832
2.000 -7.316 1.805
Cl Co In
1 1 2
Direct
0.500 0.250 0.250
0.500 0.750 0.750
0.000 0.250 0.946
0.000 0.250 0.554
```

***

#2
First-principles (PBE) data for In2CoCl after structural relaxation, as listed in Alexandria.

```
In2CoCl
1.0
-0.236 7.057 0.632
-5.056 -0.611 4.932
0.113 3.064 5.591
Cl Co In
2 2 4
Direct
0.500 0.500 0.000
0.250 0.750 0.500
0.000 0.000 0.000
0.750 0.250 0.500
0.668 0.125 0.250
0.082 0.625 0.250
0.375 0.332 0.750
0.875 0.918 0.750
```

***

#3
First-principles (PBE) data for In2CoCl after structural relaxation, as listed in Alexandria.

```
In2CoCl
1.0
9.871 0.061 0.036
9.296 3.320 0.036
9.296 1.640 2.887
Cl Co In
1 1 2
Direct
0.467 0.467 0.467
0.755 0.755 0.755
0.019 0.019 0.019
0.259 0.259 0.259
```

***

Least stable of them? #2.

***

#1
First-principles (PBE) data for InCo3Cl after structural relaxation, as listed in Alexandria.

```
InCo3Cl
1.0
4.882 0.000 0.000
0.000 4.882 0.000
0.000 0.000 4.882
Cl Co In
1 3 1
Direct
0.500 0.500 0.500
0.000 0.500 0.000
0.000 0.000 0.500
0.500 0.000 0.000
0.000 0.000 0.000
```

***

#2
First-principles (PBE) data for InCo3Cl after structural relaxation, as listed in Alexandria.

```
InCo3Cl
1.0
4.155 0.000 0.000
0.000 4.155 0.000
0.000 0.000 4.155
Cl Co In
1 3 1
Direct
0.000 0.000 0.000
0.000 0.500 0.000
0.000 0.000 0.500
0.500 0.000 0.000
0.500 0.500 0.500
```

***

Least stable of them? #1.

***

#1
First-principles (PBE) data for InCoSCl2 after structural relaxation, as listed in Alexandria.

```
InCoSCl2
1.0
-2.301 1.668 4.149
-2.083 -4.528 0.666
4.035 -1.442 2.817
S Cl Co In
1 2 1 1
Direct
0.000 0.000 0.500
0.000 0.500 0.000
0.500 0.000 0.000
0.500 0.500 0.500
0.000 0.000 0.000
```

***

#2
First-principles (PBE) data for InCoSCl2 after structural relaxation, as listed in Alexandria.

```
InCoSCl2
1.0
4.976 0.000 0.000
0.000 4.976 0.000
0.000 0.000 4.446
S Cl Co In
1 2 1 1
Direct
0.000 0.000 0.500
0.000 0.500 0.000
0.500 0.000 0.000
0.000 0.000 0.000
0.500 0.500 0.500
```

***

Least stable of them? #1.

***

#1
First-principles (PBE) data for Co3IrCl after structural relaxation, as listed in Alexandria.

```
Co3IrCl
1.0
4.075 0.000 0.000
0.000 4.075 0.000
0.000 0.000 4.075
Ir Co Cl
1 3 1
Direct
0.500 0.500 0.500
0.000 0.500 0.000
0.000 0.000 0.500
0.500 0.000 0.000
0.000 0.000 0.000
```

***

#2
First-principles (PBE) data for Co3IrCl after structural relaxation, as listed in Alexandria.

```
Co3IrCl
1.0
4.669 0.000 0.000
0.000 4.669 0.000
0.000 0.000 4.669
Ir Co Cl
1 3 1
Direct
0.000 0.000 0.000
0.000 0.500 0.000
0.000 0.000 0.500
0.500 0.000 0.000
0.500 0.500 0.500
```

***

Least stable of them? #2.

***

#1
First-principles (PBE) data for CoIr3Cl after structural relaxation, as listed in Alexandria.

```
CoIr3Cl
1.0
-4.277 -0.389 0.898
0.964 -0.985 4.165
-0.168 4.257 1.046
Ir Co Cl
3 1 1
Direct
0.000 0.500 0.000
0.000 0.000 0.500
0.500 0.000 0.000
0.500 0.500 0.500
0.000 0.000 0.000
```

***

#2
First-principles (PBE) data for CoIr3Cl after structural relaxation, as listed in Alexandria.

```
CoIr3Cl
1.0
-2.903 -2.858 -1.949
2.665 -0.226 -3.639
2.205 -3.489 1.832
Ir Co Cl
3 1 1
Direct
0.000 0.500 0.000
0.000 0.000 0.500
0.500 0.000 0.000
0.000 0.000 0.000
0.500 0.500 0.500
```

***

Least stable of them? #2.

***

#1
First-principles (PBE) data for K2CoCl after structural relaxation, as listed in Alexandria.

```
K2CoCl
1.0
-3.881 0.983 7.948
-5.860 -2.536 6.200
-1.946 -2.962 8.164
K Co Cl
2 1 1
Direct
0.991 0.991 0.991
0.176 0.176 0.176
0.750 0.750 0.750
0.583 0.583 0.583
```

***

#2
First-principles (PBE) data for K2CoCl after structural relaxation, as listed in Alexandria.

```
K2CoCl
1.0
-5.255 3.694 1.142
-4.977 3.072 -2.891
-2.990 -4.399 0.473
K Co Cl
2 1 1
Direct
0.997 0.997 0.124
0.754 0.754 0.626
0.265 0.265 0.126
0.484 0.484 0.624
```

***

Least stable of them? #2.

***

#1
First-principles (PBE) data for K2CoCl after structural relaxation, as listed in Alexandria.

```
K2CoCl
1.0
-1.145 -2.998 3.401
4.511 -1.102 0.548
0.643 4.878 4.517
K Co Cl
2 1 1
Direct
0.000 0.000 0.876
0.500 0.500 0.375
0.500 0.500 0.875
0.000 0.000 0.375
```

***

#2
First-principles (PBE) data for K2CoCl after structural relaxation, as listed in Alexandria.

```
K2CoCl
1.0
5.654 0.000 0.000
2.827 4.896 0.000
2.827 1.632 4.616
K Co Cl
2 1 1
Direct
0.000 0.000 0.000
0.250 0.250 0.250
0.750 0.750 0.750
0.500 0.500 0.500
```

***

Least stable of them? #2.

***

#1
First-principles (PBE) data for K2CoCl after structural relaxation, as listed in Alexandria.

```
K2CoCl
1.0
0.000 4.023 4.023
4.023 0.000 4.023
4.023 4.023 0.000
K Co Cl
2 1 1
Direct
0.250 0.250 0.250
0.750 0.750 0.750
0.500 0.500 0.500
0.000 0.000 0.000
```

***

#2
First-principles (PBE) data for K2CoCl after structural relaxation, as listed in Alexandria.

```
K2CoCl
1.0
9.365 -0.425 -0.743
7.036 4.758 -0.704
-8.359 -2.374 3.552
K Co Cl
2 1 1
Direct
0.952 0.785 0.828
0.694 0.252 0.567
0.315 0.000 0.689
0.539 0.463 0.915
```

***

#3
First-principles (PBE) data for K2CoCl after structural relaxation, as listed in Alexandria.

```
K2CoCl
1.0
-0.269 -3.738 0.657
3.027 -0.609 -2.224
4.987 0.796 6.570
K Co Cl
2 1 1
Direct
0.000 0.000 0.025
0.000 0.000 0.475
0.500 0.500 0.750
0.500 0.500 0.250
```

***

Least stable of them? #1.

***

#1
First-principles (PBE) data for K2CoCl after structural relaxation, as listed in Alexandria.

```
K2CoCl
1.0
-8.163 1.974 -1.479
0.961 -2.165 -8.192
-4.830 -4.429 -3.835
K Co Cl
4 2 2
Direct
0.587 0.125 0.250
0.163 0.625 0.250
0.375 0.413 0.750
0.875 0.837 0.750
0.000 0.000 0.000
0.750 0.250 0.500
0.500 0.500 0.000
0.250 0.750 0.500
```

***

#2
First-principles (PBE) data for K2CoCl after structural relaxation, as listed in Alexandria.

```
K2CoCl
1.0
-0.300 4.337 1.151
-3.888 1.695 1.494
0.824 0.007 8.680
K Co Cl
2 1 1
Direct
0.010 0.010 0.972
0.490 0.490 0.528
0.250 0.250 0.250
0.750 0.750 0.750
```

***

Least stable of them? #1.

***

#1
First-principles (PBE) data for KCoCl2 after structural relaxation, as listed in Alexandria.

```
KCoCl2
1.0
-2.203 -4.146 2.008
2.003 -2.199 4.151
-2.429 0.317 4.481
K Co Cl
1 1 2
Direct
0.750 0.750 0.750
0.500 0.500 0.500
0.000 0.000 0.000
0.250 0.250 0.250
```

***

#2
First-principles (PBE) data for KCoCl2 after structural relaxation, as listed in Alexandria.

```
KCoCl2
1.0
7.327 -0.039 -0.028
5.519 4.819 0.028
-6.391 -2.476 2.590
K Co Cl
1 1 2
Direct
0.295 0.795 0.500
0.562 0.562 0.000
0.971 0.971 0.000
0.672 0.172 0.500
```

***

#3
First-principles (PBE) data for KCoCl2 after structural relaxation, as listed in Alexandria.

```
KCoCl2
1.0
0.000 3.509 3.509
3.509 0.000 3.509
3.509 3.509 0.000
K Co Cl
1 1 2
Direct
0.000 0.000 0.000
0.500 0.500 0.500
0.250 0.250 0.250
0.750 0.750 0.750
```

***

Least stable of them? #1.

***

#1
First-principles (PBE) data for KCoS2Cl after structural relaxation, as listed in Alexandria.

```
KCoS2Cl
1.0
-2.943 3.116 -3.605
-3.654 1.245 4.058
2.982 4.372 1.344
K Co S Cl
1 1 2 1
Direct
0.000 0.000 0.000
0.500 0.500 0.500
0.000 0.500 0.000
0.500 0.000 0.000
0.000 0.000 0.500
```

***

#2
First-principles (PBE) data for KCoS2Cl after structural relaxation, as listed in Alexandria.

```
KCoS2Cl
1.0
-0.014 0.099 4.416
-2.976 -3.264 0.064
4.238 -3.862 0.100
K Co S Cl
1 1 2 1
Direct
0.500 0.500 0.500
0.000 0.000 0.000
0.000 0.500 0.000
0.500 0.000 0.000
0.000 0.000 0.500
```

***

Least stable of them? #1.

***

#1
First-principles (PBE) data for LaCo2Cl after structural relaxation, as listed in Alexandria.

```
LaCo2Cl
1.0
-1.350 -0.593 -3.033
3.065 -0.673 -1.232
-0.905 -7.566 1.883
Cl Co La
1 2 1
Direct
0.500 0.500 0.693
0.000 0.000 0.143
0.500 0.500 0.194
0.000 0.000 0.470
```

***

#2
First-principles (PBE) data for LaCo2Cl after structural relaxation, as listed in Alexandria.

```
LaCo2Cl
1.0
-4.902 3.537 -0.401
-4.491 0.409 4.045
5.975 0.276 -0.962
Cl Co La
1 2 1
Direct
0.250 0.750 0.500
0.998 0.998 0.000
0.502 0.502 0.000
0.750 0.250 0.500
```

***

Least stable of them? #2.

***

#1
First-principles (PBE) data for LaCo2Cl after structural relaxation, as listed in Alexandria.

```
LaCo2Cl
1.0
0.000 3.230 3.230
3.230 0.000 3.230
3.230 3.230 0.000
Cl Co La
1 2 1
Direct
0.000 0.000 0.000
0.250 0.250 0.250
0.750 0.750 0.750
0.500 0.500 0.500
```

***

#2
First-principles (PBE) data for LaCo2Cl after structural relaxation, as listed in Alexandria.

```
LaCo2Cl
1.0
-1.577 -3.260 3.505
4.127 -0.049 2.892
-3.406 3.427 -1.432
Cl Co La
1 2 1
Direct
0.191 0.691 0.500
0.979 0.979 0.000
0.824 0.324 0.500
0.505 0.505 0.000
```

***

Least stable of them? #1.